[1]
The following is a DFT calculation (PBE) of a geometry-optimized CsMnSb3 structure.

Cell: 5.3854 5.3854 5.3854 Å, 90.00 90.00 90.00°
Closest atoms and distances in Å follow each position.
Element x y z (fractional)
Cs: 0.0000 0.0000 0.0000  12 Sb 3.81
Mn: 0.5000 0.5000 0.5000  6 Sb 2.69
Sb: 0.0000 0.5000 0.5000  2 Mn 2.69
Sb: 0.5000 0.0000 0.5000  2 Mn 2.69
Sb: 0.5000 0.5000 0.0000  2 Mn 2.69

Computed properties:
Raw formation energy, eV per atom: 0.110
V, Å³/f.u.: 156
Symmetry: No. 221
Uncorrected energy, Ry per atom: -0.3210

***

[2]
The following is a DFT calculation (PBE) of a geometry-optimized CsMnSb3 structure.

Cell: 6.1217 6.1217 6.1217 Å, 90.00 90.00 90.00°
Closest atoms and distances in Å follow each position.
Element x y z (fractional)
Cs: 0.0000 0.0000 0.0000  6 Sb 3.06
Mn: 0.5000 0.5000 0.5000  12 Sb 4.33
Sb: 0.0000 0.0000 0.5000  2 Cs 3.06
Sb: 0.0000 0.5000 0.0000  2 Cs 3.06
Sb: 0.5000 0.0000 0.0000  2 Cs 3.06

Computed properties:
Raw formation energy, eV per atom: 1.822
V, Å³/f.u.: 229
Symmetry: No. 221
Uncorrected energy, Ry per atom: -0.1952

***

[3]
The following is a DFT calculation (PBE) of a geometry-optimized CsMnSb structure.

Cell: 4.8260 4.8260 9.2157 Å, 90.00 90.00 90.00°
Closest atoms and distances in Å follow each position.
Element x y z (fractional)
Cs: 0.2500 0.2500 0.1591  4 Sb 3.80, 4 Mn 3.96
Cs: 0.7500 0.7500 0.8409  4 Sb 3.80, 4 Mn 3.96
Mn: 0.2500 0.7500 0.5000  4 Sb 2.83
Mn: 0.7500 0.2500 0.5000  4 Sb 2.83
Sb: 0.2500 0.2500 0.6598  4 Mn 2.83
Sb: 0.7500 0.7500 0.3402  4 Mn 2.83

Computed properties:
Raw formation energy, eV per atom: -0.113
V, Å³/f.u.: 107
Symmetry: No. 129
Uncorrected energy, Ry per atom: -0.3549

***

[4]
The following is a DFT calculation (PBE) of a geometry-optimized CsMnSb2 structure.

Cell: 8.5572 8.5572 8.5572 Å, 28.93 28.93 28.93°
Closest atoms and distances in Å follow each position.
Element x y z (fractional)
Cs: 0.0000 0.0000 0.0000  6 Sb 3.83, 6 Cs 4.27
Mn: 0.5000 0.5000 0.5000  6 Sb 2.73
Sb: 0.2144 0.2144 0.2144  3 Mn 2.73
Sb: 0.7856 0.7856 0.7856  3 Mn 2.73

Computed properties:
Raw formation energy, eV per atom: -0.139
V, Å³/f.u.: 130
Symmetry: No. 166
Uncorrected energy, Ry per atom: -0.3459

***

[5]
The following is a DFT calculation (PBE) of a geometry-optimized CsMnSb2 structure.

Cell: 5.5532 5.5532 5.5532 Å, 60.00 60.00 60.00°
Closest atoms and distances in Å follow each position.
Element x y z (fractional)
Cs: 0.0000 0.0000 0.0000  8 Sb 3.40
Mn: 0.5000 0.5000 0.5000  8 Sb 3.40
Sb: 0.2500 0.2500 0.2500  4 Mn 3.40, 4 Cs 3.40
Sb: 0.7500 0.7500 0.7500  4 Mn 3.40, 4 Cs 3.40

Computed properties:
Raw formation energy, eV per atom: 0.526
V, Å³/f.u.: 121
Symmetry: No. 225
Uncorrected energy, Ry per atom: -0.2970

***

[6]
The following is a DFT calculation (PBE) of a geometry-optimized CsMnSb2Te structure.

Cell: 5.3048 5.3048 5.7081 Å, 90.00 90.00 90.00°
Closest atoms and distances in Å follow each position.
Element x y z (fractional)
Cs: 0.0000 0.0000 0.0000  4 Te 3.75, 8 Sb 3.90
Mn: 0.5000 0.5000 0.5000  4 Sb 2.65, 2 Te 2.85
Sb: 0.0000 0.5000 0.5000  2 Mn 2.65
Sb: 0.5000 0.0000 0.5000  2 Mn 2.65
Te: 0.5000 0.5000 0.0000  2 Mn 2.85

Computed properties:
Raw formation energy, eV per atom: -0.016
V, Å³/f.u.: 161
Symmetry: No. 123
Uncorrected energy, Ry per atom: -0.3159

***

What did the second record say?
The following is a DFT calculation (PBE) of a geometry-optimized CsMnSb3 structure.

Cell: 6.1217 6.1217 6.1217 Å, 90.00 90.00 90.00°
Closest atoms and distances in Å follow each position.
Element x y z (fractional)
Cs: 0.0000 0.0000 0.0000  6 Sb 3.06
Mn: 0.5000 0.5000 0.5000  12 Sb 4.33
Sb: 0.0000 0.0000 0.5000  2 Cs 3.06
Sb: 0.0000 0.5000 0.0000  2 Cs 3.06
Sb: 0.5000 0.0000 0.0000  2 Cs 3.06

Computed properties:
Raw formation energy, eV per atom: 1.822
V, Å³/f.u.: 229
Symmetry: No. 221
Uncorrected energy, Ry per atom: -0.1952